## Fe2RuO (GGA+U)

Data for Fe2RuO after structural relaxation.

Calculated values
E_tot ... -98.67 eV per cell
Total magnetic moment ... 36.1 μB/cell

CIF file:
```
data_Fe2RuO
_chemical_formula_sum 'Fe8 Ru4 O4'
_space_group_name_H-M_alt 'I -4 2 d'
_space_group_IT_number 122
_space_group_name_Hall 'I -4 2bw'
_cell_length_a 5.856
_cell_length_b 5.856
_cell_length_c 7.008
_cell_angle_alpha 90.00
_cell_angle_beta 90.00
_cell_angle_gamma 90.00
loop_
_atom_site_label
_atom_site_type_symbol
_atom_site_fract_x
_atom_site_fract_y
_atom_site_fract_z
Fe1 Fe 0.168 0.250 0.125
Ru1 Ru 0.000 0.000 0.500
O1 O 0.000 0.000 0.000
```